{"formula": "NaLiI2N", "functional": "PBE", "state": "relaxed", "raw_formation_energy_ev_per_atom": 0.09, "density_g_cm3": 3.52, "magnetic_moment_mub_per_fu": 3.0, "energy_ev_per_atom": -2.84, "cell": [[-5.0314, 1.3327, -2.4347], [-2.0409, -5.1926, 1.3751], [-1.3910, 1.5297, 3.7120]], "species": ["Li", "I", "I", "Na", "N"], "frac_coords": [[0.0000, 0.0000, 0.0000], [0.5000, 0.0000, 0.0000], [0.0000, 0.5000, 0.0000], [0.5000, 0.5000, 0.5000], [0.0000, 0.0000, 0.5000]]}